# 1
Compound: MgZnCu
Source: the Alexandria database
Functional: meta-GGA SCAN
Structure: single point on PBEsol structure

Space group   Cmcm, No. 63
Theoretical density   5.6 g/cm3

abc: 4.078 4.982 4.946
angles: 90.00 90.00 114.16
Atoms (fractional coordinates):
Zn 0.000 0.000 0.500
Zn 0.000 0.000 0.000
Mg 0.715 0.430 0.250
Mg 0.285 0.570 0.750
Cu 0.573 0.147 0.750
Cu 0.427 0.853 0.250

=====

# 2
Compound: MgZn2Cu2
Source: the Alexandria database
Functional: meta-GGA SCAN
Structure: single point on PBEsol structure

Space group   C2/c, No. 15
Energy relative to the lowest polymorph listed for this composition   0.083 eV/f.u.
Theoretical density   7.0 g/cm3

abc: 4.687 5.090 6.853
angles: 109.39 90.00 117.41
Atoms (fractional coordinates):
Zn 0.739 0.777 0.542
Zn 0.038 0.777 0.042
Zn 0.962 0.223 0.958
Zn 0.261 0.223 0.458
Cu 0.880 0.398 0.651
Cu 0.482 0.602 0.849
Cu 0.518 0.398 0.151
Cu 0.120 0.602 0.349
Mg 0.355 0.000 0.750
Mg 0.645 0.000 0.250

=====

# 3
Compound: MgZnCu
Source: the Alexandria database
Functional: meta-GGA SCAN
Structure: single point on PBEsol structure

Space group   Pbcm, No. 57
Theoretical density   5.6 g/cm3

abc: 4.992 5.030 7.259
angles: 90.00 90.00 90.00
Atoms (fractional coordinates):
Zn 0.833 0.000 0.250
Zn 0.833 0.500 0.250
Zn 0.167 0.500 0.750
Zn 0.167 0.000 0.750
Mg 0.646 0.250 0.898
Mg 0.354 0.750 0.102
Mg 0.354 0.250 0.398
Mg 0.646 0.750 0.602
Cu 0.861 0.250 0.541
Cu 0.139 0.750 0.459
Cu 0.139 0.250 0.041
Cu 0.861 0.750 0.959

=====

no.,DFT formation energy (eV/atom)
1,-0.193
2,-0.109
3,-0.178